# AcZnI

A relaxed structure of AcZnI (PBE, the Alexandria database).

Cell and atoms, written as POSCAR:
```
AcZnI
1.0
7.581 0.000 0.000
0.000 7.923 0.000
-2.251 0.000 7.172
Ac Zn I
4 4 4
Direct
0.157 0.100 0.303
0.157 0.400 0.803
0.843 0.600 0.197
0.843 0.900 0.697
0.158 0.739 0.546
0.158 0.761 0.046
0.842 0.239 0.954
0.842 0.261 0.454
0.445 0.093 0.747
0.445 0.407 0.247
0.555 0.593 0.753
0.555 0.907 0.253
```

Summary:
The value obtained for the total energy is -0.205 Ry/atom. The value obtained for the energy above the most stable polymorph in this dataset is 385.8 meV per atom. Its uncorrected formation energy is -0.4815 eV per atom. For the magnetic moment, the calculation gives 0.0 μB/f.u. The value obtained for the density of states at the Fermi level is 2.44 states/eV/f.u.